[1]
{
  "formula": "SiMo2Pb",
  "functional": "GGA-PBE",
  "state": "relaxed",
  "lattice_angstrom": [[4.648, 0.001, -0.004], [3.518, 3.037, -0.004], [0.924, 0.344, 5.272]],
  "species": ["Mo", "Mo", "Pb", "Si"],
  "fractional_positions": [[0.986, 0.986, 0.073], [0.514, 0.514, 0.427], [0.750, 0.750, 0.750], [0.250, 0.250, 0.250]],
  "magmom_total_mub_per_cell": 0.0,
  "formation_energy_uncorrected_ev_per_atom": 0.40
}

[2]
{
  "formula": "Na2Hg4Pb3",
  "functional": "GGA-PBE",
  "state": "relaxed",
  "lattice_angstrom": [[-0.819, 0.096, 5.186], [-4.095, -0.023, -3.305], [-0.054, -10.285, 0.181]],
  "species": ["Na", "Na", "Hg", "Hg", "Hg", "Hg", "Pb", "Pb", "Pb"],
  "fractional_positions": [[0.667, 0.334, 0.216], [0.333, 0.666, 0.784], [0.334, 0.667, 0.104], [0.000, 0.000, 0.676], [0.000, 0.000, 0.324], [0.666, 0.333, 0.896], [0.667, 0.333, 0.570], [0.000, 0.000, 0.000], [0.333, 0.667, 0.430]],
  "magmom_total_mub_per_cell": 0.0,
  "delta_e_f_ev_per_atom": -0.1104
}

[3]
{
  "formula": "LiMgNb",
  "functional": "GGA-PBE",
  "state": "relaxed",
  "lattice_angstrom": [[4.709, 0.000, 0.000], [2.355, 4.140, 0.000], [2.355, 0.000, 5.654]],
  "species": ["Li", "Li", "Nb", "Nb", "Mg", "Mg"],
  "fractional_positions": [[0.750, 0.500, 0.500], [0.250, 0.500, 0.500], [0.831, 0.339, 0.000], [0.169, 0.661, 0.000], [0.625, 0.000, 0.751], [0.375, 0.000, 0.249]],
  "magmom_total_mub_per_cell": 0.0,
  "delta_e_f_ev_per_atom": 0.2680
}

[4]
{
  "formula": "NbTcW",
  "functional": "GGA-PBE",
  "state": "relaxed",
  "lattice_angstrom": [[3.190, 0.000, 0.000], [0.000, 3.190, 0.000], [-1.595, -1.595, 4.805]],
  "species": ["Nb", "Tc", "W"],
  "fractional_positions": [[0.949, 0.949, 0.898], [0.281, 0.281, 0.562], [0.620, 0.620, 0.240]],
  "magmom_total_mub_per_cell": 0.0,
  "delta_e_f_ev_per_atom": -0.1104
}

[5]
{
  "formula": "LaPr4Nd2Mg",
  "functional": "GGA-PBE",
  "state": "relaxed",
  "lattice_angstrom": [[5.990, 0.000, 0.000], [0.000, 9.710, -0.326], [0.000, 3.845, 4.587]],
  "species": ["La", "Pr", "Pr", "Pr", "Pr", "Nd", "Nd", "Mg"],
  "fractional_positions": [[0.500, 0.500, 0.000], [0.000, 0.735, 0.764], [0.000, 0.265, 0.236], [0.500, 0.735, 0.265], [0.500, 0.265, 0.735], [0.000, 0.000, 0.000], [0.500, 0.000, 0.500], [0.000, 0.500, 0.500]],
  "magmom_total_mub_per_cell": 0.0,
  "delta_e_f_ev_per_atom": 0.0706
}

[6]
{
  "formula": "CsPbO2",
  "functional": "GGA-PBE",
  "state": "relaxed",
  "lattice_angstrom": [[-3.121, 0.030, -2.619], [-2.203, -6.126, 2.552], [-4.419, 6.727, 2.178]],
  "species": ["Cs", "Cs", "Pb", "Pb", "O", "O", "O", "O"],
  "fractional_positions": [[0.938, 0.771, 0.060], [0.701, 0.672, 0.535], [0.164, 0.196, 0.607], [0.474, 0.246, 0.988], [0.339, 0.600, 0.258], [0.579, 0.367, 0.777], [0.058, 0.076, 0.818], [0.299, 0.842, 0.336]],
  "magmom_total_mub_per_cell": 0.0,
  "formation_energy_uncorrected_ev_per_atom": -1.05
}

[7]
{
  "formula": "Nd2SN",
  "functional": "GGA-PBE",
  "state": "relaxed",
  "lattice_angstrom": [[3.751, 0.000, 0.000], [1.876, 3.249, 0.000], [1.876, 1.083, 6.730]],
  "species": ["Nd", "Nd", "S", "N"],
  "fractional_positions": [[0.069, 0.069, 0.794], [0.264, 0.264, 0.209], [0.499, 0.499, 0.503], [0.669, 0.669, 0.994]],
  "magmom_total_mub_per_cell": 0.0,
  "formation_energy_uncorrected_ev_per_atom": -1.66
}

[8]
{
  "formula": "DyEr6Mg",
  "functional": "GGA-PBE",
  "state": "relaxed",
  "lattice_angstrom": [[9.251, -0.001, 0.148], [4.635, 7.084, -0.298], [4.570, 2.229, 3.671]],
  "species": ["Dy", "Er", "Er", "Er", "Er", "Er", "Er", "Mg"],
  "fractional_positions": [[0.500, 0.500, 0.500], [0.045, 0.471, 0.728], [0.757, 0.955, 0.759], [0.529, 0.243, 0.183], [0.243, 0.045, 0.241], [0.955, 0.529, 0.272], [0.471, 0.757, 0.817], [0.000, 0.000, 0.000]],
  "magmom_total_mub_per_cell": 0.0,
  "delta_e_f_ev_per_atom": 0.1405
}